First-principles (GGA+U) data for an optimized crystal structure of CsCrHgF6, as listed in the Alexandria database.

Size of the total moment in μB/cell: 11.999
Calculated total energy in eV/atom: -4.590

abc: 7.733 7.810 10.677
angles: 90.00 90.00 90.00
Space group Imma (No. 74)
Inequivalent atoms, fractional coordinates:
Cs (0.000, 0.250, 0.102) x4
Cr (0.250, 0.250, 0.750) x4
Hg (0.000, 0.000, 0.500) x4
F (0.000, 0.250, 0.397) x4
F (0.000, 0.250, 0.730) x4
F (0.241, 0.075, 0.879) x16